[1]
16
Lattice="9.1338 0.0000 0.0000 0.0000 9.1338 0.0000 0.0000 0.0000 9.1338" Properties=species:S:1:pos:R:3 comment="Cs2CrBr, relaxed, DFT PBE" formation_energy_uncorrected_ev_per_atom=-0.117 magmom_total_mub_per_fu=5.00 n_ef_per_ev_cell=0.00 rho_g_cm3=3.47 pbc="T T T"
Cs 2.2835 2.2835 2.2835
Cs 2.2835 2.2835 6.8504
Cs 2.2835 6.8504 2.2835
Cs 2.2835 6.8504 6.8504
Cs 6.8504 2.2835 2.2835
Cs 6.8504 2.2835 6.8504
Cs 6.8504 6.8504 2.2835
Cs 6.8504 6.8504 6.8504
Cr 0.0000 0.0000 0.0000
Cr 0.0000 4.5669 4.5669
Cr 4.5669 0.0000 4.5669
Cr 4.5669 4.5669 0.0000
Br 0.0000 0.0000 4.5669
Br 0.0000 4.5669 0.0000
Br 4.5669 0.0000 0.0000
Br 4.5669 4.5669 4.5669

***

[2]
32
Lattice="9.7576 0.0000 0.0000 0.0000 7.5689 0.0000 0.0000 0.0000 15.8325" Properties=species:S:1:pos:R:3 comment="Cs2CrBr5, relaxed, DFT PBE" formation_energy_uncorrected_ev_per_atom=-1.285 magmom_total_mub_per_fu=3.00 rho_g_cm3=4.07 pbc="T T T"
Cs 0.2448 1.8922 3.2222
Cs 1.6622 5.6767 6.6383
Cs 3.2166 1.8922 14.5545
Cs 4.6340 5.6767 11.1384
Cs 5.1236 1.8922 4.6941
Cs 6.5410 5.6767 1.2780
Cs 8.0954 1.8922 9.1943
Cs 9.5128 5.6767 12.6104
Cr 1.6700 5.6767 0.9948
Cr 3.2088 1.8922 8.9111
Cr 6.5488 5.6767 6.9214
Cr 8.0876 1.8922 14.8377
Br 0.0000 0.0000 0.0000
Br 0.0000 3.7845 0.0000
Br 0.2836 5.6767 3.0627
Br 1.7421 0.1065 9.7769
Br 1.7421 3.6780 9.7769
Br 2.0010 1.8922 6.6666
Br 2.8778 5.6767 14.5829
Br 3.1367 3.8909 1.8606
Br 3.1367 7.4624 1.8606
Br 4.5952 1.8922 10.9790
Br 4.8788 0.0000 7.9163
Br 4.8788 3.7845 7.9163
Br 5.1624 5.6767 4.8535
Br 6.6209 0.1065 13.9719
Br 6.6209 3.6780 13.9719
Br 6.8798 1.8922 1.2497
Br 7.7566 5.6767 9.1659
Br 8.0156 3.8909 6.0556
Br 8.0156 7.4624 6.0556
Br 9.4740 1.8922 12.7698

***

[3]
10
Lattice="-5.4980 5.4980 3.6766 5.4980 -5.4980 3.6766 5.4980 5.4980 -3.6766" Properties=species:S:1:pos:R:3 comment="Cs4CrBr5, relaxed, DFT PBE" formation_energy_uncorrected_ev_per_atom=-1.340 magmom_total_mub_per_fu=5.00 n_ef_per_ev_cell=4.30 rho_g_cm3=3.67 pbc="T T T"
Cs 3.2637 1.0047 0.0000
Cs 4.4933 -2.2343 3.6766
Cs 1.0047 7.7323 0.0000
Cs 2.2343 4.4933 3.6766
Cr 0.0000 0.0000 3.9780
Br 6.4133 2.7209 -0.0463
Br 2.7209 4.5828 -0.0463
Br 2.7771 0.9153 3.6303
Br -0.9153 2.7771 3.6303
Br 0.0000 0.0000 6.6826

***

[4]
11
Lattice="5.4469 -6.0999 0.0000 5.4469 6.0999 0.0000 -0.9062 0.0000 7.5820" Properties=species:S:1:pos:R:3 comment="Cs2Cr2Br7, relaxed, DFT PBE" formation_energy_uncorrected_ev_per_atom=-1.004 magmom_total_mub_per_fu=7.00 n_ef_per_ev_cell=3.03 rho_g_cm3=3.06 pbc="T T T"
Cs 5.4469 3.3076 0.0000
Cs 5.4469 -3.3076 0.0000
Cr 2.4823 0.0000 3.9840
Cr 7.5052 0.0000 3.5980
Br 1.9448 1.8286 5.4414
Br 1.9777 0.0000 1.6122
Br 1.9448 -1.8286 5.4414
Br 4.9938 0.0000 3.7910
Br 8.0428 1.8286 2.1406
Br 8.0098 0.0000 5.9698
Br 8.0428 -1.8286 2.1406

***

[5]
9
Lattice="6.9041 -2.6620 0.0000 6.9041 2.6620 0.0000 -1.0810 0.0000 9.0026" Properties=species:S:1:pos:R:3 comment="Cs2Cr2Br5, relaxed, DFT PBE" formation_energy_uncorrected_ev_per_atom=-1.004 magmom_total_mub_per_fu=9.00 n_ef_per_ev_cell=0.90 rho_g_cm3=3.86 pbc="T T T"
Cs 0.8046 0.0000 2.6847
Cs 11.9226 0.0000 6.3179
Cr 4.3668 0.0000 1.1042
Cr 8.3604 0.0000 7.8984
Br 1.8932 0.0000 7.9084
Br 4.6937 0.0000 3.6050
Br 6.9041 0.0000 0.0000
Br 8.0335 0.0000 5.3976
Br 10.8340 0.0000 1.0942

***

[6]
20
Lattice="9.8527 0.0000 0.0000 0.0000 4.2866 0.0000 0.0000 0.0000 16.1448" Properties=species:S:1:pos:R:3 comment="CsCrBr3, relaxed, DFT PBE" formation_energy_uncorrected_ev_per_atom=-1.078 e_above_lowest_polymorph_ev_per_fu=0.21 magmom_total_mub_per_fu=4.00 n_ef_per_ev_cell=9.01 rho_g_cm3=4.14 pbc="T T T"
Cs 0.5878 1.0717 2.7637
Cs 4.3385 3.2150 10.8361
Cs 5.5142 1.0717 5.3087
Cs 9.2649 3.2150 13.3811
Cr 1.5471 3.2150 7.3173
Cr 3.3792 1.0717 15.3897
Cr 6.4735 3.2150 0.7551
Cr 8.3056 1.0717 8.8275
Br 0.2736 3.2150 9.5358
Br 1.8937 3.2150 0.0153
Br 2.3904 1.0717 13.0715
Br 2.5360 3.2150 4.9991
Br 3.0326 1.0717 8.0877
Br 4.6527 1.0717 1.4634
Br 5.2000 3.2150 14.6814
Br 6.8200 3.2150 8.0571
Br 7.3167 1.0717 11.1457
Br 7.4623 3.2150 3.0733
Br 7.9590 1.0717 16.1295
Br 9.5791 1.0717 6.6090

***

[7]
5
Lattice="5.3692 0.0000 0.0000 0.0000 5.3692 0.0000 0.0000 0.0000 5.3692" Properties=species:S:1:pos:R:3 comment="CsCrBr3, relaxed, DFT PBE" formation_energy_uncorrected_ev_per_atom=-1.114 e_above_lowest_polymorph_ev_per_fu=0.04 magmom_total_mub_per_fu=4.00 n_ef_per_ev_cell=1.32 rho_g_cm3=4.56 pbc="T T T"
Cs 0.0000 0.0000 0.0000
Cr 2.6846 2.6846 2.6846
Br 0.0000 2.6846 2.6846
Br 2.6846 0.0000 2.6846
Br 2.6846 2.6846 0.0000

***

[8]
16
Lattice="8.3059 0.0000 0.0000 0.0000 8.3059 0.0000 0.0000 0.0000 8.4548" Properties=species:S:1:pos:R:3 comment="CsCrBr2, relaxed, DFT PBE" formation_energy_uncorrected_ev_per_atom=-0.820 e_above_lowest_polymorph_ev_per_fu=0.00 magmom_total_mub_per_fu=5.00 n_ef_per_ev_cell=0.02 rho_g_cm3=3.93 pbc="T T T"
Cs 0.0000 0.0000 0.0000
Cs 0.0000 4.1529 2.1137
Cs 4.1529 0.0000 6.3411
Cs 4.1529 4.1529 4.2274
Cr 0.0000 0.0000 4.2274
Cr 0.0000 4.1529 6.3411
Cr 4.1529 0.0000 2.1137
Cr 4.1529 4.1529 0.0000
Br 1.2711 2.0765 5.2843
Br 2.0765 5.4240 7.3980
Br 2.0765 7.0348 3.1706
Br 2.8819 2.0765 1.0569
Br 5.4240 6.2294 1.0569
Br 6.2294 1.2711 3.1706
Br 6.2294 2.8819 7.3980
Br 7.0348 6.2294 5.2843